[1]
Entry from Alexandria: a relaxed structure of TaIn2HgRh (PBE-GGA).

Cell and atoms, written as CIF:
```
data_TaIn2HgRh
_chemical_formula_sum 'Ta1 In2 Hg1 Rh1'
_cell_length_a 4.955
_cell_length_b 4.955
_cell_length_c 5.087
_cell_angle_alpha 90.00
_cell_angle_beta 90.00
_cell_angle_gamma 90.00
_space_group_name_H-M_alt 'P 4/m m m'
_space_group_IT_number 123
_space_group_name_Hall '-P 4 2'
loop_
_atom_site_label
_atom_site_type_symbol
_atom_site_fract_x
_atom_site_fract_y
_atom_site_fract_z
_atom_site_occupancy
Ta1 Ta 0.000 0.000 0.000 1
In1 In 0.000 0.500 0.500 1
Hg1 Hg 0.500 0.500 0.000 1
Rh1 Rh 0.500 0.500 0.500 1
```

ΔE_f in eV/f.u.: 4.8
Density of states at the Fermi level in states/eV per cell: 4.959
E_tot in eV per atom: -4.030
Magnetic moment in μB per cell: 0.00

[2]
Entry from Alexandria: a relaxed structure of Pm2CuBiO5 (PBE-GGA).

Cell and atoms, written as CIF:
```
data_Pm2CuBiO5
_chemical_formula_sum 'Pm4 Cu2 Bi2 O10'
_cell_length_a 6.646
_cell_length_b 6.646
_cell_length_c 5.778
_cell_angle_alpha 90.00
_cell_angle_beta 90.00
_cell_angle_gamma 90.00
_space_group_name_H-M_alt 'P 4/m b m'
_space_group_IT_number 127
_space_group_name_Hall '-P 4 2ab'
loop_
_atom_site_label
_atom_site_type_symbol
_atom_site_fract_x
_atom_site_fract_y
_atom_site_fract_z
_atom_site_occupancy
Pm1 Pm 0.169 0.331 0.000 1
Cu1 Cu 0.000 0.500 0.500 1
Bi1 Bi 0.000 0.000 0.500 1
O1 O 0.000 0.000 0.000 1
O2 O 0.149 0.649 0.258 1
```

Density of states at the Fermi level in states/eV per cell: 10.093
E_tot in eV per atom: -6.668
Magnetic moment in μB per cell: 0.76
Energy relative to the elements, uncorrected in eV per atom: -1.97

[3]
Entry from Alexandria: a relaxed structure of SrTiGa2Co (PBE-GGA).

Cell and atoms, written as CIF:
```
data_SrTiGa2Co
_chemical_formula_sum 'Sr1 Ti1 Ga2 Co1'
_cell_length_a 4.637
_cell_length_b 4.637
_cell_length_c 5.142
_cell_angle_alpha 90.00
_cell_angle_beta 90.00
_cell_angle_gamma 90.00
_space_group_name_H-M_alt 'P 4/m m m'
_space_group_IT_number 123
_space_group_name_Hall '-P 4 2'
loop_
_atom_site_label
_atom_site_type_symbol
_atom_site_fract_x
_atom_site_fract_y
_atom_site_fract_z
_atom_site_occupancy
Sr1 Sr 0.000 0.000 0.000 1
Ti1 Ti 0.500 0.500 0.000 1
Ga1 Ga 0.000 0.500 0.500 1
Co1 Co 0.000 0.000 0.500 1
```

ΔE_f in eV/f.u.: 2.2
Density of states at the Fermi level in states/eV per cell: 6.406
E_tot in eV per atom: -4.098
Magnetic moment in μB per cell: 0.31

[4]
Entry from Alexandria: a relaxed structure of LiIn2Re (PBE-GGA).

Cell and atoms, written as CIF:
```
data_LiIn2Re
_chemical_formula_sum 'Li2 In4 Re2'
_cell_length_a 9.227
_cell_length_b 2.841
_cell_length_c 5.736
_cell_angle_alpha 90.00
_cell_angle_beta 96.49
_cell_angle_gamma 90.00
_space_group_name_H-M_alt 'C 1 2/m 1'
_space_group_IT_number 12
_space_group_name_Hall '-C 2y'
loop_
_atom_site_label
_atom_site_type_symbol
_atom_site_fract_x
_atom_site_fract_y
_atom_site_fract_z
_atom_site_occupancy
Li1 Li 0.000 0.000 0.000 1
In1 In 0.244 0.000 0.745 1
Re1 Re 0.000 0.500 0.500 1
```

ΔE_f in eV/f.u.: 1.3
Energy relative to the lowest polymorph listed for this composition in eV per atom: 0.103
Density of states at the Fermi level in states/eV per cell: 3.803
E_tot in eV per atom: -4.625
Magnetic moment in μB per cell: 0.00

[5]
Entry from Alexandria: a relaxed structure of Sc2AlZnAu4 (PBE-GGA).

Cell and atoms, written as CIF:
```
data_Sc2AlZnAu4
_chemical_formula_sum 'Sc6 Al3 Zn3 Au12'
_cell_length_a 4.6676
_cell_length_b 4.6676
_cell_length_c 22.7905
_cell_angle_alpha 90.00
_cell_angle_beta 90.00
_cell_angle_gamma 120.00
_space_group_name_H-M_alt 'R -3 m'
_space_group_IT_number 166
_space_group_name_Hall '-R 3 2"'
loop_
_atom_site_label
_atom_site_type_symbol
_atom_site_fract_x
_atom_site_fract_y
_atom_site_fract_z
_atom_site_occupancy
Sc1 Sc 0.0000 0.0000 0.2480 1
Al1 Al 0.0000 0.0000 0.0000 1
Zn1 Zn 0.0000 0.0000 0.5000 1
Au1 Au 0.0000 0.0000 0.1223 1
Au2 Au 0.0000 0.0000 0.3728 1
```

ΔE_f in eV/f.u.: -5.3
Density of states at the Fermi level in states/eV per cell: 10.352
E_tot in eV per atom: -4.508
Magnetic moment in μB per cell: 0.00